4
Lattice="0.207 -3.640 1.475 -3.085 -1.532 1.898 -2.074 -2.909 -1.644" Properties=species:S:1:pos:R:3 comment="B2WF (GGA+U, optimized geometry)" dft_energy_ev_per_atom=-4.40 volume_a3_per_cell=43.0 crystal_system=cubic dos_ef_per_ev_cell=3.8 pbc="T T T"
B -3.714 -6.060 1.296
W -2.476 -4.040 0.864
F 0.000 0.000 0.000
B -1.238 -2.020 0.432